No. 1
## KTl2Hg2 (PBE)

Data for a relaxed KTl2Hg2 crystal.

CIF file:
```
data_KTl2Hg2
_space_group_name_H-M_alt 'P 1'
_space_group_IT_number 1
_cell_length_a 7.7558
_cell_length_b 7.7558
_cell_length_c 7.7558
_cell_angle_alpha 142.19
_cell_angle_beta 142.19
_cell_angle_gamma 54.54
loop_
_space_group_symop_operation_xyz
'x,y,z'
loop_
_atom_site_label
_atom_site_type_symbol
_atom_site_fract_x
_atom_site_fract_y
_atom_site_fract_z
_atom_site_occupancy
Hg1 Hg 0.6069 0.6069 0.0000 1
Hg2 Hg 0.3931 0.3931 0.0000 1
Tl1 Tl 0.7500 0.2500 0.5000 1
Tl2 Tl 0.2500 0.7500 0.5000 1
K1 K 0.0000 0.0000 0.0000 1
```

Results
Crystal system   tetragonal
DFT total energy   -0.1042 Ry per atom

***

No. 2
## KTlHg (PBE)

Data for a relaxed KTlHg crystal.

CIF file:
```
data_KTlHg
_space_group_name_H-M_alt 'P 1'
_space_group_IT_number 1
_cell_length_a 5.6342
_cell_length_b 5.6342
_cell_length_c 5.6342
_cell_angle_alpha 60.00
_cell_angle_beta 60.00
_cell_angle_gamma 60.00
loop_
_space_group_symop_operation_xyz
'x,y,z'
loop_
_atom_site_label
_atom_site_type_symbol
_atom_site_fract_x
_atom_site_fract_y
_atom_site_fract_z
_atom_site_occupancy
K1 K 0.0000 0.0000 0.0000 1
Tl1 Tl 0.7500 0.7500 0.7500 1
Hg1 Hg 0.2500 0.2500 0.2500 1
```

Results
Crystal system   cubic
DFT total energy   -0.0816 Ry per atom

***

No. 3
## K2TlHg6 (PBE)

Data for a relaxed K2TlHg6 crystal.

CIF file:
```
data_K2TlHg6
_space_group_name_H-M_alt 'P 1'
_space_group_IT_number 1
_cell_length_a 7.2198
_cell_length_b 7.2198
_cell_length_c 6.5109
_cell_angle_alpha 90.00
_cell_angle_beta 90.00
_cell_angle_gamma 120.00
loop_
_space_group_symop_operation_xyz
'x,y,z'
loop_
_atom_site_label
_atom_site_type_symbol
_atom_site_fract_x
_atom_site_fract_y
_atom_site_fract_z
_atom_site_occupancy
Hg1 Hg 0.6319 0.8159 0.6608 1
Hg2 Hg 0.8159 0.1841 0.3392 1
Hg3 Hg 0.1841 0.8159 0.6608 1
Hg4 Hg 0.1841 0.3681 0.6608 1
Hg5 Hg 0.8159 0.6319 0.3392 1
Hg6 Hg 0.3681 0.1841 0.3392 1
K1 K 0.6667 0.3333 0.8427 1
K2 K 0.3333 0.6667 0.1573 1
Tl1 Tl 0.0000 0.0000 0.0000 1
```

Results
Crystal system   trigonal
DFT total energy   -0.0678 Ry per atom

***

No. 4
## KTmHg (PBE)

Data for a relaxed KTmHg crystal.

CIF file:
```
data_KTmHg
_space_group_name_H-M_alt 'P 1'
_space_group_IT_number 1
_cell_length_a 5.2843
_cell_length_b 5.2843
_cell_length_c 5.2843
_cell_angle_alpha 60.00
_cell_angle_beta 60.00
_cell_angle_gamma 60.00
loop_
_space_group_symop_operation_xyz
'x,y,z'
loop_
_atom_site_label
_atom_site_type_symbol
_atom_site_fract_x
_atom_site_fract_y
_atom_site_fract_z
_atom_site_occupancy
Tm1 Tm 0.0000 0.0000 0.0000 1
Hg1 Hg 0.2500 0.2500 0.2500 1
K1 K 0.7500 0.7500 0.7500 1
```

Results
Crystal system   cubic
DFT total energy   -0.1051 Ry per atom